[1]
An optimized crystal structure of LiZnReAs2. Source: Alexandria, functional PBE-GGA.

POSCAR file:
```
LiZnReAs2
1.0
4.331 0.000 0.000
0.000 4.331 0.000
0.000 0.000 4.492
Li Zn Re As
1 1 1 2
Cartesian
0.000 0.000 0.000
2.165 2.165 2.246
0.000 0.000 2.246
0.000 2.165 0.000
2.165 0.000 0.000
```

## Properties
As for the space group: No. 123. The mass density comes out at 8.05 g cm⁻³. The crystal system is tetragonal. As for the energy relative to the elements: 1.05 eV per atom. The value obtained for the uncorrected energy is -19.697 eV for the cell shown.

[2]
An optimized crystal structure of LiZr2ReAs. Source: Alexandria, functional PBE-GGA.

POSCAR file:
```
LiZr2ReAs
1.0
5.072 0.000 0.000
0.000 5.072 0.000
0.000 0.000 4.534
Li Zr Re As
1 2 1 1
Cartesian
0.000 0.000 0.000
0.000 2.536 2.267
2.536 0.000 2.267
2.536 2.536 0.000
2.536 2.536 2.267
```

## Properties
As for the space group: No. 123. The mass density comes out at 6.41 g cm⁻³. The crystal system is tetragonal. As for the energy relative to the elements: 0.53 eV per atom. The value obtained for the uncorrected energy is -33.474 eV for the cell shown.

[3]
An optimized crystal structure of LiAs4Rh2. Source: Alexandria, functional PBE-GGA.

POSCAR file:
```
LiAs4Rh2
1.0
4.538 0.000 0.000
0.000 4.538 0.000
0.000 0.000 12.517
Li As Rh
2 8 4
Cartesian
0.000 0.000 0.000
2.269 2.269 6.259
0.000 0.000 2.541
0.000 0.000 9.976
0.000 2.269 0.000
0.000 2.269 6.259
2.269 0.000 0.000
2.269 0.000 6.259
2.269 2.269 3.717
2.269 2.269 8.800
0.000 0.000 4.860
0.000 0.000 7.657
2.269 2.269 1.398
2.269 2.269 11.119
```

## Properties
As for the space group: No. 139. The mass density comes out at 6.60 g cm⁻³. The crystal system is tetragonal. As for the energy relative to the elements: 0.22 eV per atom. The value obtained for the uncorrected energy is -67.281 eV for the cell shown.

[4]
An optimized crystal structure of LiAs2Rh. Source: Alexandria, functional PBE-GGA.

POSCAR file:
```
LiAs2Rh
1.0
3.013 0.000 0.000
0.000 3.926 0.000
0.000 0.000 5.283
Li As Rh
1 2 1
Cartesian
0.000 0.000 0.000
0.000 0.000 2.549
1.507 1.963 4.405
1.507 1.963 1.662
```

## Properties
As for the space group: No. 25. The mass density comes out at 6.90 g cm⁻³. The crystal system is orthorhombic. As for the energy relative to the elements: -0.26 eV per atom. For the polymorph energy (0 for the lowest one), the calculation gives 139.3 meV per atom. The value obtained for the uncorrected energy is -19.604 eV for the cell shown.

[5]
An optimized crystal structure of Li2AsRh. Source: Alexandria, functional PBE-GGA.

POSCAR file:
```
Li2AsRh
1.0
2.707 0.000 0.000
0.000 2.707 0.000
0.000 0.000 8.016
Li As Rh
2 1 1
Cartesian
0.000 0.000 1.994
0.000 0.000 6.022
1.353 1.353 4.008
1.353 1.353 0.000
```

## Properties
As for the space group: No. 123. The mass density comes out at 5.42 g cm⁻³. The crystal system is tetragonal. As for the energy relative to the elements: -0.21 eV per atom. The value obtained for the uncorrected energy is -16.685 eV for the cell shown.

[6]
An optimized crystal structure of LiAs2Rh. Source: Alexandria, functional PBE-GGA.

POSCAR file:
```
LiAs2Rh
1.0
6.256 0.000 0.000
0.000 6.256 0.000
0.000 0.000 6.256
Li As Rh
4 8 4
Cartesian
0.000 0.000 0.000
0.000 3.128 3.128
3.128 0.000 3.128
3.128 3.128 0.000
0.000 0.000 3.128
0.000 3.128 0.000
1.564 1.564 1.564
1.564 4.692 4.692
3.128 0.000 0.000
3.128 3.128 3.128
4.692 1.564 4.692
4.692 4.692 1.564
1.564 1.564 4.692
1.564 4.692 1.564
4.692 1.564 1.564
4.692 4.692 4.692
```

## Properties
As for the space group: No. 216. The mass density comes out at 7.04 g cm⁻³. The crystal system is cubic. As for the energy relative to the elements: -0.07 eV per atom. For the polymorph energy (0 for the lowest one), the calculation gives 324.4 meV per atom. The value obtained for the uncorrected energy is -75.454 eV for the cell shown.